No. 1
# YFe2W

A geometry-optimized YFe2W structure (PBE, Alexandria).

Values from the calculation:
For the excess energy over the best structure of this formula in the dataset, the calculation gives 0.000 eV/atom. For the formation enthalpy at 0 K, the calculation gives 0.161 eV/atom. As for the space group: P4/mmm. The density of states at the Fermi level is 2.9 states/eV/cell.

abc: 3.0539 3.0539 6.8175
angles: 90.00 90.00 90.00
Sites, in units of the cell vectors:
Y: 0.0000 0.0000 0.0000
Fe: 0.5000 0.5000 0.3006
Fe: 0.5000 0.5000 0.6994
W: 0.0000 0.0000 0.5000

***

No. 2
# Hg2TeMo

A geometry-optimized Hg2TeMo structure (PBE, Alexandria).

Values from the calculation:
As for the space group: P4mm. The density of states at the Fermi level is 1.6 states/eV/cell. The formation energy from raw total energies is 0.23 eV/atom.

abc: 3.2258 3.2258 9.2914
angles: 90.00 90.00 90.00
Sites, in units of the cell vectors:
Hg: 0.0000 0.0000 0.0000
Hg: 0.5000 0.5000 0.2777
Te: 0.5000 0.5000 0.6542
Mo: 0.0000 0.0000 0.4829

***

No. 3
# Mg2In2Si

A geometry-optimized Mg2In2Si structure (PBE, Alexandria).

Values from the calculation:
For the excess energy over the best structure of this formula in the dataset, the calculation gives 0.099 eV/atom. As for the space group: P4/mbm. The density of states at the Fermi level is 3.3 states/eV/cell. The formation energy from raw total energies is 0.25 eV/atom.

abc: 8.0099 8.0099 3.6117
angles: 90.00 90.00 90.00
Sites, in units of the cell vectors:
Mg: 0.1702 0.3298 0.0000
Mg: 0.3298 0.8298 0.0000
Mg: 0.6702 0.1702 0.0000
Mg: 0.8298 0.6702 0.0000
In: 0.1336 0.6336 0.5000
In: 0.3664 0.1336 0.5000
In: 0.6336 0.8664 0.5000
In: 0.8664 0.3664 0.5000
Si: 0.0000 0.0000 0.5000
Si: 0.5000 0.5000 0.5000

***

No. 4
# ZrReRu2

A geometry-optimized ZrReRu2 structure (PBE, Alexandria).

Values from the calculation:
For the excess energy over the best structure of this formula in the dataset, the calculation gives 0.047 eV/atom. For the formation enthalpy at 0 K, the calculation gives -0.033 eV/atom. As for the space group: Pmmm. The density of states at the Fermi level is 5.4 states/eV/cell.

abc: 2.8877 3.7667 5.9059
angles: 90.00 90.00 90.00
Sites, in units of the cell vectors:
Zr: 0.0000 0.0000 0.0000
Re: 0.0000 0.0000 0.5000
Ru: 0.5000 0.5000 0.2757
Ru: 0.5000 0.5000 0.7243

***

No. 5
# ScRe2Ni

A geometry-optimized ScRe2Ni structure (PBE, Alexandria).

Values from the calculation:
For the excess energy over the best structure of this formula in the dataset, the calculation gives 0.255 eV/atom. For the formation enthalpy at 0 K, the calculation gives 0.177 eV/atom. As for the space group: Cmmm. The density of states at the Fermi level is 3.6 states/eV/cell.

abc: 5.0246 5.0246 2.6790
angles: 90.00 90.00 116.44
Sites, in units of the cell vectors:
Sc: 0.0000 0.0000 0.0000
Re: 0.0000 0.5000 0.5000
Re: 0.5000 0.0000 0.5000
Ni: 0.5000 0.5000 0.0000

***

No. 6
# GdZnCd4

A geometry-optimized GdZnCd4 structure (PBE, Alexandria).

Values from the calculation:
For the formation enthalpy at 0 K, the calculation gives -0.011 eV/atom. As for the space group: F-43m. The density of states at the Fermi level is 5.4 states/eV/cell.

abc: 5.8637 5.8637 5.8637
angles: 60.00 60.00 60.00
Sites, in units of the cell vectors:
Gd: 0.0000 0.0000 0.0000
Zn: 0.7500 0.7500 0.7500
Cd: 0.3748 0.3748 0.3748
Cd: 0.3748 0.3748 0.8757
Cd: 0.3748 0.8757 0.3748
Cd: 0.8757 0.3748 0.3748

***

No. 7
# K2SrLa

A geometry-optimized K2SrLa structure (PBE, Alexandria).

Values from the calculation:
For the excess energy over the best structure of this formula in the dataset, the calculation gives 0.212 eV/atom. For the formation enthalpy at 0 K, the calculation gives 0.405 eV/atom. As for the space group: I4/mmm. The density of states at the Fermi level is 6.7 states/eV/cell.

abc: 8.0659 8.0659 8.0659
angles: 140.16 140.16 57.61
Sites, in units of the cell vectors:
K: 0.2500 0.7500 0.5000
K: 0.7500 0.2500 0.5000
Sr: 0.0000 0.0000 0.0000
La: 0.5000 0.5000 0.0000

***

No. 8
# YPuSi4

A geometry-optimized YPuSi4 structure (PBE, Alexandria).

Values from the calculation:
For the excess energy over the best structure of this formula in the dataset, the calculation gives 0.170 eV/atom. As for the space group: F-43m. The density of states at the Fermi level is 5.1 states/eV/cell. The formation energy from raw total energies is -0.35 eV/atom.

abc: 5.2959 5.2959 5.2959
angles: 60.00 60.00 60.00
Sites, in units of the cell vectors:
Y: 0.0000 0.0000 0.0000
Pu: 0.2500 0.2500 0.2500
Si: 0.1261 0.6246 0.6246
Si: 0.6246 0.1261 0.6246
Si: 0.6246 0.6246 0.1261
Si: 0.6246 0.6246 0.6246

***

| no. | spin magnetization (Bohr magnetons per cell) |
| --- | --- |
| 1 | 1.28 |
| 2 | 0.00 |
| 3 | 0.00 |
| 4 | 0.00 |
| 5 | 0.00 |
| 6 | 7.26 |
| 7 | 0.49 |
| 8 | 6.64 |